No. 1
VASP calculation (GGA-PBE) on a geometry-optimized Tl2CdRu structure.

abc: 4.4055 3.6081 5.8312
angles: 71.86 90.00 90.00
Last column: nearest neighbours and their distance in Å.
Positions (direct):
1 Cd 0.0000 0.6966 0.4810  2 Ru 2.79, 7 Tl 3.01-3.10
2 Ru 0.5000 0.5431 0.7908  2 Cd 2.79, 5 Tl 2.85-2.94
3 Tl 0.0000 0.9760 0.9223  4 Ru 2.94, 3 Cd 3.04-3.10
4 Tl 0.5000 0.2842 0.3059  1 Ru 2.85, 4 Cd 3.01

Its volume is 22.0 A^3/atom. The density of states at the Fermi level comes out at 2.86 states/eV/cell. Its crystal system is monoclinic. The formation energy comes out at 434 meV per atom. For the total magnetic moment, the calculation gives 0.0 μB/f.u.

=====

No. 2
VASP calculation (GGA-PBE) on a geometry-optimized TlCd2Ru2 structure.

abc: 6.8617 6.8617 4.1901
angles: 90.00 90.00 90.00
Last column: nearest neighbours and their distance in Å.
Positions (direct):
1 Ru 0.3737 0.8737 0.0000  1 Ru 2.45, 2 Tl 2.71
2 Ru 0.8737 0.6263 0.0000  1 Ru 2.45, 2 Tl 2.71
3 Ru 0.6263 0.1263 0.0000  1 Ru 2.45, 2 Tl 2.71
4 Ru 0.1263 0.3737 0.0000  1 Ru 2.45, 2 Tl 2.71
5 Tl 0.0000 0.0000 0.0000  4 Ru 2.71
6 Tl 0.5000 0.5000 0.0000  4 Ru 2.71
7 Cd 0.1674 0.6674 0.5000  6 Ru 2.90-2.92
8 Cd 0.6674 0.8326 0.5000  6 Ru 2.90-2.92
9 Cd 0.8326 0.3326 0.5000  6 Ru 2.90-2.92
10 Cd 0.3326 0.1674 0.5000  6 Ru 2.90-2.92

Its volume is 19.7 A^3/atom. The density of states at the Fermi level comes out at 5.44 states/eV/cell. Its crystal system is tetragonal. The formation energy comes out at 352 meV per atom. For the total magnetic moment, the calculation gives 1.2 μB/f.u.

=====

No. 3
VASP calculation (GGA-PBE) on a geometry-optimized TlCd2RuW structure.

abc: 5.4977 4.5647 5.4977
angles: 90.00 90.00 90.00
Last column: nearest neighbours and their distance in Å.
Positions (direct):
1 Ru 0.0000 0.5000 0.0000  2 W 2.28
2 Tl 0.5000 0.5000 0.5000  8 Cd 3.57, 4 Ru 3.89
3 W 0.0000 0.0000 0.0000  2 Ru 2.28
4 Cd 0.0000 0.0000 0.5000  2 W 2.75
5 Cd 0.5000 0.0000 0.0000  2 W 2.75

Its volume is 27.6 A^3/atom. The density of states at the Fermi level comes out at 5.09 states/eV/cell. Its crystal system is tetragonal. The formation energy comes out at 1130 meV per atom. For the total magnetic moment, the calculation gives 0.0 μB/f.u.

=====

No. 4
VASP calculation (GGA-PBE) on a geometry-optimized TmCdRu structure.

abc: 3.8587 3.8587 11.8032
angles: 80.59 80.59 60.00
Last column: nearest neighbours and their distance in Å.
Positions (direct):
1 Ru 0.3221 0.3221 0.0336  3 Ru 2.36
2 Ru 0.6779 0.6779 0.9664  3 Ru 2.36
3 Cd 0.1957 0.1957 0.4129  3 Cd 3.01, 3 Tm 3.22
4 Cd 0.8043 0.8043 0.5871  3 Cd 3.01, 3 Tm 3.22
5 Tm 0.4043 0.4043 0.7872  4 Ru 2.86-3.05
6 Tm 0.5957 0.5957 0.2128  4 Ru 2.86-3.05

Its volume is 24.9 A^3/atom. The density of states at the Fermi level comes out at 4.11 states/eV/cell. Its crystal system is trigonal. The formation energy comes out at 53 meV per atom. For the total magnetic moment, the calculation gives 0.0 μB/f.u.

=====

No. 5
VASP calculation (GGA-PBE) on a geometry-optimized Tm2Cd2Ru structure.

abc: 3.3798 3.3798 10.0339
angles: 99.70 99.70 90.00
Last column: nearest neighbours and their distance in Å.
Positions (direct):
1 Tm 0.5837 0.5837 0.1674  4 Ru 2.89
2 Tm 0.4163 0.4163 0.8326  4 Ru 2.89
3 Cd 0.7983 0.7983 0.5966  8 Cd 3.04-3.38, 4 Tm 3.32
4 Cd 0.2017 0.2017 0.4034  8 Cd 3.04-3.38, 4 Tm 3.32
5 Ru 0.0000 0.0000 0.0000  8 Tm 2.89

Its volume is 22.3 A^3/atom. The density of states at the Fermi level comes out at 2.21 states/eV/cell. Its crystal system is tetragonal. The formation energy comes out at -399 meV per atom. For the total magnetic moment, the calculation gives 0.0 μB/f.u.

=====

No. 6
VASP calculation (GGA-PBE) on a geometry-optimized Tm4CdRu structure.

abc: 5.8488 7.0556 8.1309
angles: 90.00 79.62 90.00
Last column: nearest neighbours and their distance in Å.
Positions (direct):
1 Tm 0.9378 0.6242 0.2071  1 Ru 2.62
2 Tm 0.5622 0.1242 0.7929  1 Ru 2.62
3 Tm 0.4113 0.3599 0.3661  2 Ru 2.65-2.85
4 Tm 0.0887 0.8599 0.6339  2 Ru 2.65-2.85
5 Tm 0.0622 0.3758 0.7929  1 Ru 2.62
6 Tm 0.4378 0.8758 0.2071  1 Ru 2.62
7 Tm 0.5887 0.6401 0.6339  2 Ru 2.65-2.85
8 Tm 0.9113 0.1401 0.3661  2 Ru 2.65-2.85
9 Cd 0.0000 0.0000 0.0000  6 Tm 3.09-3.42
10 Cd 0.5000 0.5000 0.0000  6 Tm 3.09-3.42
11 Ru 0.5000 0.0000 0.5000  6 Tm 2.62-2.85
12 Ru 0.0000 0.5000 0.5000  6 Tm 2.62-2.85

Its volume is 27.5 A^3/atom. The density of states at the Fermi level comes out at 9.84 states/eV/cell. Its crystal system is monoclinic. The formation energy comes out at -159 meV per atom. For the total magnetic moment, the calculation gives 0.0 μB/f.u.